No. 1
Crystalline Sc2HI at its relaxed geometry. Source: Alexandria, functional PBE.

The structure in extended XYZ format:
```
12
Lattice="3.6486 0.0000 0.0000 -1.8243 3.1598 0.0000 0.0000 0.0000 23.7193" Properties=species:S:1:pos:R:3 pbc="T T T"
Sc 0.0000 0.0000 2.8166
Sc 0.0000 0.0000 20.9027
Sc 0.0000 2.1065 12.9962
Sc 0.0000 2.1065 18.6295
Sc 1.8243 1.0533 5.0898
Sc 1.8243 1.0533 10.7231
H 0.0000 0.0000 11.8596
H 0.0000 2.1065 3.9532
H 1.8243 1.0533 19.7661
I 0.0000 0.0000 0.0000
I 0.0000 2.1065 15.8129
I 1.8243 1.0533 7.9064
```

## Properties
As for the symmetry: R-3m, No. 166. For the total DFT energy (no corrections), the calculation gives -4.612 eV per atom. The value obtained for the magnetization is 0.007 Bohr magnetons per cell. The calculation puts the excess energy over the best structure of this formula in the dataset at 0.352 eV per atom.

***

No. 2
Crystalline ScTe2HI at its relaxed geometry. Source: Alexandria, functional PBE.

The structure in extended XYZ format:
```
5
Lattice="5.5766 0.0000 0.0000 0.0000 5.5766 0.0000 0.0000 0.0000 5.8183" Properties=species:S:1:pos:R:3 pbc="T T T"
Sc 0.0000 0.0000 0.0000
Te 0.0000 2.7883 0.0000
Te 2.7883 0.0000 0.0000
H 2.7883 2.7883 2.9091
I 0.0000 0.0000 2.9091
```

## Properties
As for the symmetry: P4/mmm, No. 123. For the total DFT energy (no corrections), the calculation gives -3.428 eV per atom. The value obtained for the magnetization is 1.548 Bohr magnetons per cell. The calculation puts the excess energy over the best structure of this formula in the dataset at 0.005 eV per atom.

***

No. 3
Crystalline ScTe2HI at its relaxed geometry. Source: Alexandria, functional PBE.

The structure in extended XYZ format:
```
5
Lattice="4.4649 0.0000 0.0000 0.0000 4.4649 0.0000 0.0000 0.0000 6.0303" Properties=species:S:1:pos:R:3 pbc="T T T"
Sc 0.0000 0.0000 0.0000
Te 0.0000 2.2324 3.0151
Te 2.2324 0.0000 3.0151
H 2.2324 2.2324 3.0151
I 2.2324 2.2324 0.0000
```

## Properties
As for the symmetry: P4/mmm, No. 123. For the total DFT energy (no corrections), the calculation gives -3.433 eV per atom. The value obtained for the magnetization is 0.575 Bohr magnetons per cell. The calculation puts the excess energy over the best structure of this formula in the dataset at 0.000 eV per atom.

***

No. 4
Crystalline ScHW2I at its relaxed geometry. Source: Alexandria, functional PBE.

The structure in extended XYZ format:
```
5
Lattice="3.9360 0.0000 0.0000 0.0000 3.9360 0.0000 0.0000 0.0000 5.1332" Properties=species:S:1:pos:R:3 pbc="T T T"
Sc 0.0000 0.0000 0.0000
H 0.0000 0.0000 2.5666
W 0.0000 1.9680 2.5666
W 1.9680 0.0000 2.5666
I 1.9680 1.9680 0.0000
```

## Properties
As for the symmetry: P4/mmm, No. 123. For the total DFT energy (no corrections), the calculation gives -6.813 eV per atom. The value obtained for the magnetization is 0.000 Bohr magnetons per cell.

***

No. 5
Crystalline HSe3I at its relaxed geometry. Source: Alexandria, functional PBE.

The structure in extended XYZ format:
```
5
Lattice="4.5787 0.0000 0.0000 0.0000 4.5787 0.0000 0.0000 0.0000 4.5787" Properties=species:S:1:pos:R:3 pbc="T T T"
H 0.0000 0.0000 0.0000
Se 0.0000 0.0000 2.2894
Se 0.0000 2.2894 0.0000
Se 2.2894 0.0000 0.0000
I 2.2894 2.2894 2.2894
```

## Properties
As for the symmetry: Pm-3m, No. 221. For the total DFT energy (no corrections), the calculation gives -2.214 eV per atom. The value obtained for the magnetization is 0.000 Bohr magnetons per cell. The calculation puts the excess energy over the best structure of this formula in the dataset at 0.000 eV per atom.

***

No. 6
Crystalline HSe2I at its relaxed geometry. Source: Alexandria, functional PBE.

The structure in extended XYZ format:
```
16
Lattice="6.9661 0.0000 0.0000 0.0000 6.9661 0.0000 0.0000 0.0000 6.9661" Properties=species:S:1:pos:R:3 pbc="T T T"
H 0.0000 0.0000 0.0000
H 0.0000 3.4830 3.4830
H 3.4830 0.0000 3.4830
H 3.4830 3.4830 0.0000
Se 1.7415 1.7415 1.7415
Se 1.7415 1.7415 5.2245
Se 1.7415 5.2245 1.7415
Se 1.7415 5.2245 5.2245
Se 5.2245 1.7415 1.7415
Se 5.2245 1.7415 5.2245
Se 5.2245 5.2245 1.7415
Se 5.2245 5.2245 5.2245
I 0.0000 0.0000 3.4830
I 0.0000 3.4830 0.0000
I 3.4830 0.0000 0.0000
I 3.4830 3.4830 3.4830
```

## Properties
As for the symmetry: Fm-3m, No. 225. For the total DFT energy (no corrections), the calculation gives -1.848 eV per atom. The value obtained for the magnetization is 0.000 Bohr magnetons per cell. The calculation puts the excess energy over the best structure of this formula in the dataset at 0.717 eV per atom.

***

No. 7
Crystalline HSeI at its relaxed geometry. Source: Alexandria, functional PBE.

The structure in extended XYZ format:
```
6
Lattice="4.7664 0.0000 0.0000 0.0000 4.1180 0.0000 -1.0664 0.0000 10.2558" Properties=species:S:1:pos:R:3 pbc="T T T"
H -0.3203 0.0000 4.5446
H 4.0204 2.0590 5.7112
Se 1.1243 0.5967 9.6650
Se 2.5758 2.6557 0.5908
I 0.3784 1.0178 3.4528
I 3.3216 3.0768 6.8030
```

## Properties
As for the symmetry: P2_1, No. 4. For the total DFT energy (no corrections), the calculation gives -2.685 eV per atom. The value obtained for the magnetization is 0.000 Bohr magnetons per cell. The calculation puts the excess energy over the best structure of this formula in the dataset at 0.082 eV per atom.

***

No. 8
Crystalline HSe2I at its relaxed geometry. Source: Alexandria, functional PBE.

The structure in extended XYZ format:
```
12
Lattice="5.3429 0.0000 0.0000 -2.6715 4.6271 0.0000 0.0000 0.0000 11.7253" Properties=species:S:1:pos:R:3 pbc="T T T"
H 0.0000 0.0000 0.0000
H 0.0000 3.0847 7.8169
H 2.6715 1.5424 3.9084
Se 0.0000 0.0000 1.8036
Se 0.0000 0.0000 9.9217
Se 0.0000 3.0847 6.0133
Se 0.0000 3.0847 9.6205
Se 2.6715 1.5424 2.1048
Se 2.6715 1.5424 5.7120
I 0.0000 0.0000 5.8627
I 0.0000 3.0847 1.9542
I 2.6715 1.5424 9.7711
```

## Properties
As for the symmetry: R-3m, No. 166. For the total DFT energy (no corrections), the calculation gives -2.565 eV per atom. The value obtained for the magnetization is 0.000 Bohr magnetons per cell. The calculation puts the excess energy over the best structure of this formula in the dataset at 0.000 eV per atom.